Density functional theory data (PBE) for a relaxed structure of NdGa3Cu3.

Calculated values
The calculation puts the formation energy at -222 meV/atom. As for the volume: 255.6 Å³/cell. Its total energy is -3.956 eV/atom.

Cell lengths 7.830, 7.830, 6.604 Å; angles 53.64, 53.64, 60.00 degrees
Atoms (fractional coordinates):
Cu 0.206 0.695 0.145
Cu 0.695 0.954 0.145
Cu 0.046 0.794 0.855
Cu 0.305 0.046 0.855
Cu 0.794 0.305 0.855
Cu 0.954 0.206 0.145
Nd 0.676 0.676 0.972
Nd 0.324 0.324 0.028
Ga 0.193 0.857 0.386
Ga 0.564 0.193 0.386
Ga 0.857 0.564 0.386
Ga 0.436 0.807 0.614
Ga 0.143 0.436 0.614
Ga 0.807 0.143 0.614



Density functional theory data (PBE) for a relaxed structure of PmDy3Y4.

Calculated values
As for the distance to the lowest polymorph of the same formula: 0.000 eV per formula unit. The calculation puts the formation energy at 7 meV/atom. As for the volume: 522.7 Å³/cell. Its total energy is -5.545 eV/atom.

Cell lengths 6.315, 7.307, 11.329 Å; angles 90.00, 90.00, 90.00 degrees
Atoms (fractional coordinates):
Y 0.483 0.875 0.751
Y 0.646 0.125 0.500
Y 0.647 0.126 0.000
Y 0.483 0.875 0.249
Y 0.983 0.125 0.251
Y 0.983 0.125 0.749
Y 0.146 0.875 0.000
Y 0.147 0.874 0.500
Dy 0.980 0.625 0.750
Dy 0.480 0.375 0.750
Dy 0.980 0.625 0.250
Dy 0.480 0.375 0.250
Dy 0.649 0.625 0.000
Dy 0.149 0.375 0.500
Pm 0.150 0.376 0.000
Pm 0.650 0.624 0.500